Entry 1:
Density functional theory data (GGA-PBE) for a geometry-optimized BaLiUS3 structure.

Lattice parameters (Å, degrees): 8.5982 4.0799 8.9673 90.00 105.40 90.00
Space group P2_1/m (No. 11)
One atom of each set of equivalent atoms:
Ba  0.1939  0.2500  0.2394 (multiplicity 2)
Li  0.0850  0.2500  0.5906 (multiplicity 2)
U  0.3320  0.7500  0.8443 (multiplicity 2)
S  0.1159  0.2500  0.8645 (multiplicity 2)
S  0.2044  0.7500  0.5272 (multiplicity 2)
S  0.4497  0.7500  0.1632 (multiplicity 2)

Properties
Magnetization in μB per atom: 0.48
Final energy in eV per atom: -6.17
Energy relative to the elements, uncorrected in kJ/mol of formula units: -920

***

Entry 2:
Density functional theory data (GGA-PBE) for a geometry-optimized LaSi structure.

Lattice parameters (Å, degrees): 3.9046 8.8664 6.0876 90.00 90.00 90.00
Space group Imm2 (No. 44)
One atom of each set of equivalent atoms:
La  0.0000  0.2068  0.0000 (multiplicity 4)
Si  0.0000  0.0000  0.5003 (multiplicity 2)
Si  0.0000  0.5000  0.2489 (multiplicity 2)

Properties
Magnetization in μB per atom: 0.00
Final energy in eV per atom: -5.71
Energy relative to the elements, uncorrected in kJ/mol of formula units: -103

***

Entry 3:
Density functional theory data (GGA-PBE) for a geometry-optimized YEr2Zn structure.

Lattice parameters (Å, degrees): 3.6408 5.2495 11.2655 90.00 90.00 90.00
Space group Immm (No. 71)
One atom of each set of equivalent atoms:
Y  0.0000  0.0000  0.0000 (multiplicity 2)
Er  0.0000  0.5000  0.2128 (multiplicity 4)
Zn  0.0000  0.0000  0.5000 (multiplicity 2)

Properties
Magnetization in μB per atom: 0.00
Final energy in eV per atom: -4.38
Polymorph energy (0 for the lowest one) in eV per atom: 0.001

***

Entry 4:
Density functional theory data (GGA-PBE) for a geometry-optimized Na3RuC structure.

Lattice parameters (Å, degrees): 4.8878 4.8878 4.8878 90.00 90.00 90.00
Space group Pm-3m (No. 221)
One atom of each set of equivalent atoms:
Na  0.0000  0.0000  0.5000 (multiplicity 3)
Ru  0.5000  0.5000  0.5000 (multiplicity 1)
C  0.0000  0.0000  0.0000 (multiplicity 1)

Properties
Magnetization in μB per atom: 0.98
Final energy in eV per atom: -2.84
Polymorph energy (0 for the lowest one) in eV per atom: 0.000

***

Entry 5:
Density functional theory data (GGA-PBE) for a geometry-optimized Tb6TlHg3 structure.

Lattice parameters (Å, degrees): 9.5353 5.1955 11.6172 90.00 105.96 90.00
Space group P2_1/m (No. 11)
One atom of each set of equivalent atoms:
Tb  0.0307  0.2500  0.4016 (multiplicity 2)
Tb  0.1470  0.7500  0.1852 (multiplicity 2)
Tb  0.2469  0.2500  0.0007 (multiplicity 2)
Tb  0.3391  0.7500  0.8202 (multiplicity 2)
Tb  0.3779  0.2500  0.3341 (multiplicity 2)
Tb  0.3781  0.2500  0.6125 (multiplicity 2)
Tl  0.4455  0.7500  0.1172 (multiplicity 2)
Hg  0.0268  0.7500  0.8829 (multiplicity 2)
Hg  0.1249  0.2500  0.7185 (multiplicity 2)
Hg  0.2789  0.7500  0.4677 (multiplicity 2)

Properties
Magnetization in μB per atom: 0.00
Final energy in eV per atom: -3.43

***

Entry 6:
Density functional theory data (GGA-PBE) for a geometry-optimized Hg3Te2 structure.

Lattice parameters (Å, degrees): 21.9255 2.8379 15.6023 90.00 134.59 90.00
Space group C2 (No. 5)
One atom of each set of equivalent atoms:
Hg  0.0000  0.0000  0.0000 (multiplicity 2)
Hg  0.0000  0.2467  0.5000 (multiplicity 2)
Hg  0.1102  0.0621  0.9292 (multiplicity 4)
Hg  0.1808  0.3091  0.5705 (multiplicity 4)
Te  0.1180  0.9950  0.2937 (multiplicity 4)
Te  0.1758  0.2420  0.7938 (multiplicity 4)

Properties
Magnetization in μB per atom: 0.00
Final energy in eV per atom: -1.33
Energy relative to the elements, uncorrected in kJ/mol of formula units: 53
Polymorph energy (0 for the lowest one) in eV per atom: 0.165

***

Entry 7:
Density functional theory data (GGA-PBE) for a geometry-optimized Sc2V2Ge structure.

Lattice parameters (Å, degrees): 3.9552 3.9552 12.2658 90.00 90.00 90.00
Space group I4/mmm (No. 139)
One atom of each set of equivalent atoms:
Sc  0.0000  0.5000  0.2500 (multiplicity 4)
V  0.0000  0.0000  0.0779 (multiplicity 4)
Ge  0.0000  0.0000  0.5000 (multiplicity 2)

Properties
Magnetization in μB per atom: 0.40
Final energy in eV per atom: -6.47
Polymorph energy (0 for the lowest one) in eV per atom: 0.727

***

Entry 8:
Density functional theory data (GGA-PBE) for a geometry-optimized CaBrO2 structure.

Lattice parameters (Å, degrees): 3.9207 3.9207 16.5644 90.00 90.00 120.00
Space group R3m (No. 160, hexagonal axes)
One atom of each set of equivalent atoms:
Ca  0.0000  0.0000  0.0000 (multiplicity 3)
Br  0.0000  0.0000  0.4769 (multiplicity 3)
O  0.0000  0.0000  0.1494 (multiplicity 3)
O  0.0000  0.0000  0.6597 (multiplicity 3)

Properties
Magnetization in μB per atom: 0.00
Final energy in eV per atom: -4.25
Energy relative to the elements, uncorrected in kJ/mol of formula units: -329
Polymorph energy (0 for the lowest one) in eV per atom: 0.604

***

Entry 9:
Density functional theory data (GGA-PBE) for a geometry-optimized BaNa2Bi3 structure.

Lattice parameters (Å, degrees): 12.3898 11.3787 6.3894 90.00 90.00 90.00
Space group Cmcm (No. 63)
One atom of each set of equivalent atoms:
Ba  0.0000  0.2299  0.2500 (multiplicity 4)
Na  0.2347  0.5000  0.0000 (multiplicity 8)
Bi  0.0000  0.4529  0.7500 (multiplicity 4)
Bi  0.2057  0.2393  0.7500 (multiplicity 8)

Properties
Magnetization in μB per atom: 0.00
Final energy in eV per atom: -3.05

***

Entry 10:
Density functional theory data (GGA-PBE) for a geometry-optimized K3ZrSc2O6 structure.

Lattice parameters (Å, degrees): 5.6608 9.8058 6.4715 90.00 106.96 90.00
Space group C2/m (No. 12)
One atom of each set of equivalent atoms:
K  0.0000  0.0000  0.0000 (multiplicity 2)
K  0.0000  0.3325  0.0000 (multiplicity 4)
Zr  0.0000  0.5000  0.5000 (multiplicity 2)
Sc  0.0000  0.1666  0.5000 (multiplicity 4)
O  0.2267  0.3336  0.6808 (multiplicity 8)
O  0.2277  0.0000  0.6810 (multiplicity 4)

Properties
Magnetization in μB per atom: 0.00
Final energy in eV per atom: -7.13
Energy relative to the elements, uncorrected in kJ/mol of formula units: -3025